1.
## Zr2CoAs (PBE)

Data for a relaxed Zr2CoAs crystal.

Geometry as POSCAR:
```
Zr2CoAs
1.0
3.156 -0.008 0.000
-0.509 3.115 0.000
0.000 0.000 7.272
As Co Zr
1 1 2
Direct
0.500 0.500 0.250 As
0.500 0.500 0.750 Co
0.000 0.000 0.984 Zr
0.000 0.000 0.516 Zr
```

Summary:
* formation energy from the elements: -406 meV/atom
* D(E_F): 4.66 states/eV per cell
* electronic total energy: -7.6186 eV per atom

***

2.
## NaPuBi2 (PBE)

Data for a relaxed NaPuBi2 crystal.

Geometry as POSCAR:
```
NaPuBi2
1.0
-0.004 3.577 -0.355
-2.302 1.993 1.911
6.434 2.645 8.372
Na Bi Pu
1 2 1
Direct
0.000 0.000 0.000 Na
0.749 0.749 0.752 Bi
0.251 0.251 0.248 Bi
0.500 0.500 0.500 Pu
```

Summary:
* formation energy from the elements: -215 meV/atom
* D(E_F): 9.29 states/eV per cell
* offset from the most stable computed form: 0.55 eV per formula unit
* electronic total energy: -6.0680 eV per atom

***

3.
## Tm3HfS6 (PBE)

Data for a relaxed Tm3HfS6 crystal.

Geometry as POSCAR:
```
Tm3HfS6
1.0
-2.874 6.848 2.373
-3.503 0.553 -6.943
-5.974 -3.955 3.076
Tm Hf S
6 2 12
Direct
0.419 0.911 0.741 Tm
0.911 0.741 0.419 Tm
0.259 0.581 0.089 Tm
0.741 0.419 0.911 Tm
0.089 0.259 0.581 Tm
0.581 0.089 0.259 Tm
0.000 0.000 0.000 Hf
0.500 0.500 0.500 Hf
0.310 0.930 0.080 S
0.070 0.920 0.690 S
0.584 0.811 0.450 S
0.920 0.690 0.070 S
0.450 0.584 0.811 S
0.189 0.550 0.416 S
0.811 0.450 0.584 S
0.550 0.416 0.189 S
0.080 0.310 0.930 S
0.416 0.189 0.550 S
0.930 0.080 0.310 S
0.690 0.070 0.920 S
```

Summary:
* D(E_F): 8.71 states/eV per cell
* formation energy without anion corrections: -1.8599 eV/atom
* electronic total energy: -6.6732 eV per atom

***

4.
## ScInAu2 (PBE)

Data for a relaxed ScInAu2 crystal.

Geometry as POSCAR:
```
ScInAu2
1.0
-4.522 2.489 5.675
-6.309 -0.539 4.332
-3.474 -0.955 6.773
Au In Sc
2 1 1
Direct
0.003 0.003 0.003 Au
0.497 0.497 0.497 Au
0.250 0.250 0.250 In
0.750 0.750 0.750 Sc
```

Summary:
* formation energy from the elements: -450 meV/atom
* D(E_F): 1.85 states/eV per cell
* electronic total energy: -4.3558 eV per atom

***

5.
## Sm4GaSe2I (PBE)

Data for a relaxed Sm4GaSe2I crystal.

Geometry as POSCAR:
```
Sm4GaSe2I
1.0
4.167 0.000 0.000
0.000 7.377 -0.179
0.000 2.569 7.176
Sm Ga Se I
4 1 2 1
Direct
0.000 0.770 0.715 Sm
0.000 0.230 0.285 Sm
0.500 0.755 0.267 Sm
0.500 0.245 0.733 Sm
0.000 0.500 0.500 Ga
0.000 0.000 0.000 Se
0.500 0.000 0.500 Se
0.500 0.500 0.000 I
```

Summary:
* D(E_F): 3.60 states/eV per cell
* formation energy without anion corrections: -1.2685 eV/atom
* electronic total energy: -5.0713 eV per atom

***

6.
## BaGeS3 (PBE)

Data for a relaxed BaGeS3 crystal.

Geometry as POSCAR:
```
BaGeS3
1.0
4.896 0.000 0.000
0.000 4.896 0.000
0.000 0.000 4.896
S Ge Ba
3 1 1
Direct
0.000 0.500 0.000 S
0.000 0.000 0.500 S
0.500 0.000 0.000 S
0.000 0.000 0.000 Ge
0.500 0.500 0.500 Ba
```

Summary:
* D(E_F): 3.35 states/eV per cell
* offset from the most stable computed form: 1.63 eV per formula unit
* formation energy without anion corrections: -0.8123 eV/atom
* electronic total energy: -4.5968 eV per atom

***

7.
## Ni6SbPt (PBE)

Data for a relaxed Ni6SbPt crystal.

Geometry as POSCAR:
```
Ni6SbPt
1.0
-0.743 5.323 -3.458
-4.818 -0.534 4.164
5.511 5.358 7.064
Ni Pt Sb
24 4 4
Direct
0.249 0.751 0.498 Ni
0.877 0.628 0.623 Ni
0.123 0.372 0.623 Ni
0.751 0.249 0.498 Ni
0.372 0.123 0.623 Ni
0.628 0.877 0.623 Ni
0.500 0.500 0.250 Ni
0.122 0.374 0.374 Ni
0.374 0.122 0.374 Ni
0.249 0.751 0.002 Ni
0.878 0.626 0.126 Ni
0.122 0.374 0.126 Ni
0.751 0.249 0.002 Ni
0.374 0.122 0.126 Ni
0.626 0.878 0.126 Ni
0.500 0.500 0.750 Ni
0.123 0.372 0.877 Ni
0.372 0.123 0.877 Ni
0.000 0.000 0.250 Ni
0.626 0.878 0.374 Ni
0.878 0.626 0.374 Ni
0.000 0.000 0.750 Ni
0.628 0.877 0.877 Ni
0.877 0.628 0.877 Ni
0.252 0.748 0.250 Pt
0.748 0.252 0.250 Pt
0.000 0.000 0.496 Pt
0.000 0.000 0.004 Pt
0.251 0.749 0.750 Sb
0.749 0.251 0.750 Sb
0.500 0.500 0.497 Sb
0.500 0.500 0.003 Sb
```

Summary:
* D(E_F): 49.23 states/eV per cell
* formation energy without anion corrections: -0.0976 eV/atom
* electronic total energy: -5.7040 eV per atom

***

8.
## RbTlAu (PBE)

Data for a relaxed RbTlAu crystal.

Geometry as POSCAR:
```
RbTlAu
1.0
-2.437 -5.424 0.768
0.572 1.514 6.649
-5.828 0.308 4.936
Rb Tl Au
2 2 2
Direct
0.267 0.745 0.127 Rb
0.551 0.565 0.593 Rb
0.193 0.989 0.566 Tl
0.775 0.365 0.052 Tl
0.765 0.135 0.506 Au
0.917 0.163 0.811 Au
```

Summary:
* formation energy from the elements: -176 meV/atom
* D(E_F): 1.95 states/eV per cell
* offset from the most stable computed form: 0.09 eV per formula unit
* electronic total energy: -2.3793 eV per atom